Record 1
# PBE Cu16Te, relaxed
data_Cu16Te
_chemical_formula_sum 'Cu32 Te2'
_symmetry_space_group_name_H-M 'P -1'
_symmetry_Int_Tables_number 2
_cell_length_a 4.412
_cell_length_b 5.659
_cell_length_c 30.368
_cell_angle_alpha 89.65
_cell_angle_beta 89.96
_cell_angle_gamma 75.24
loop_
_symmetry_equiv_pos_as_xyz
'x,y,z'
'-x,-y,-z'
loop_
_atom_site_label
_atom_site_fract_x
_atom_site_fract_y
_atom_site_fract_z
_atom_site_occupancy
Cu1 0.001 0.250 0.444 1
Cu2 0.006 0.245 0.669 1
Cu3 0.140 0.819 0.636 1
Cu4 0.142 0.822 0.412 1
Cu5 0.143 0.326 0.749 1
Cu6 0.145 0.322 0.524 1
Cu7 0.148 0.314 0.298 1
Cu8 0.283 0.397 0.380 1
Cu9 0.285 0.893 0.719 1
Cu10 0.286 0.392 0.604 1
Cu11 0.287 0.893 0.492 1
Cu12 0.288 0.883 0.267 1
Cu13 0.425 0.967 0.348 1
Cu14 0.426 0.466 0.684 1
Cu15 0.427 0.963 0.573 1
Cu16 0.430 0.463 0.460 1
Te1 0.429 0.460 0.223 1
# Crystal system   triclinic
# ΔE to the lowest computed polymorph   0.000 eV/atom

***

Record 2
# PBE Cu15Te8, relaxed
data_Cu15Te8
_chemical_formula_sum 'Cu60 Te32'
_symmetry_space_group_name_H-M 'P 3 m 1'
_symmetry_Int_Tables_number 156
_cell_length_a 8.3670
_cell_length_b 8.3670
_cell_length_c 48.0537
_cell_angle_alpha 90.00
_cell_angle_beta 90.00
_cell_angle_gamma 120.00
loop_
_symmetry_equiv_pos_as_xyz
'x,y,z'
'-y,x-y,z'
'-x+y,-x,z'
'-y,-x,z'
'-x+y,y,z'
'x,x-y,z'
loop_
_atom_site_label
_atom_site_fract_x
_atom_site_fract_y
_atom_site_fract_z
_atom_site_occupancy
Cu1 0.0000 0.0000 0.0000 1
Cu2 0.0000 0.0000 0.1391 1
Cu3 0.0000 0.0000 0.2889 1
Cu4 0.0000 0.0000 0.4385 1
Cu5 0.0041 0.5020 0.0334 1
Cu6 0.0074 0.5037 0.1837 1
Cu7 0.0082 0.5041 0.3333 1
Cu8 0.0090 0.5045 0.4843 1
Cu9 0.1504 0.3007 0.1687 1
Cu10 0.1507 0.3014 0.3182 1
Cu11 0.1513 0.3026 0.4681 1
Cu12 0.1588 0.3175 0.0180 1
Cu13 0.1742 0.3483 0.5213 1
Cu14 0.1832 0.3665 0.0709 1
Cu15 0.1837 0.3673 0.2207 1
Cu16 0.1842 0.3685 0.3701 1
Cu17 0.3086 0.1543 0.0534 1
Cu18 0.3119 0.1560 0.2047 1
Cu19 0.3123 0.1561 0.3545 1
Cu20 0.3127 0.1563 0.5045 1
Cu21 0.3333 0.6667 0.1012 1
Cu22 0.3333 0.6667 0.2509 1
Cu23 0.3333 0.6667 0.4007 1
Cu24 0.3333 0.6667 0.5375 1
Cu25 0.6667 0.3333 0.0526 1
Cu26 0.6667 0.3333 0.2029 1
Cu27 0.6667 0.3333 0.3519 1
Cu28 0.6667 0.3333 0.5036 1
Te1 0.0000 0.0000 0.0831 1
Te2 0.0000 0.0000 0.2334 1
Te3 0.0000 0.0000 0.3831 1
Te4 0.0000 0.0000 0.5349 1
Te5 0.3333 0.6667 0.0054 1
Te6 0.3333 0.6667 0.1565 1
Te7 0.3333 0.6667 0.3062 1
Te8 0.3333 0.6667 0.4563 1
Te9 0.3620 0.1810 0.9990 1
Te10 0.3638 0.1819 0.1504 1
Te11 0.3640 0.1820 0.3002 1
Te12 0.3644 0.1822 0.4507 1
Te13 0.5137 0.0274 0.5401 1
Te14 0.5145 0.0289 0.2390 1
Te15 0.5147 0.0294 0.0885 1
Te16 0.5146 0.0292 0.3887 1
# Crystal system   trigonal
# ΔE to the lowest computed polymorph   0.003 eV/atom

***

Record 3
# PBE Cu7Te4, relaxed
data_Cu7Te4
_chemical_formula_sum 'Cu28 Te16'
_symmetry_space_group_name_H-M 'P 1 m 1'
_symmetry_Int_Tables_number 6
_cell_length_a 7.195
_cell_length_b 8.210
_cell_length_c 37.157
_cell_angle_alpha 90.00
_cell_angle_beta 90.35
_cell_angle_gamma 90.00
loop_
_symmetry_equiv_pos_as_xyz
'x,y,z'
'x,-y,z'
loop_
_atom_site_label
_atom_site_fract_x
_atom_site_fract_y
_atom_site_fract_z
_atom_site_occupancy
Cu1 0.000 0.000 0.000 1
Cu2 0.012 0.500 0.193 1
Cu3 0.218 0.500 0.943 1
Cu4 0.255 0.000 0.128 1
Cu5 0.409 0.500 0.260 1
Cu6 0.453 0.000 0.068 1
Cu7 0.462 0.282 0.963 1
Cu8 0.468 0.216 0.157 1
Cu9 0.540 0.244 0.225 1
Cu10 0.558 0.239 0.030 1
Cu11 0.558 0.500 0.128 1
Cu12 0.565 0.000 0.941 1
Cu13 0.682 0.252 0.912 1
Cu14 0.701 0.242 0.098 1
Cu15 0.704 0.000 0.192 1
Cu16 0.715 0.500 0.991 1
Cu17 0.733 0.500 0.233 1
Cu18 0.800 0.000 0.058 1
Cu19 0.805 0.216 0.971 1
Cu20 0.809 0.275 0.167 1
Te1 0.329 0.000 0.201 1
Te2 0.335 0.272 0.093 1
Te3 0.345 0.500 0.008 1
Te4 0.350 0.220 0.283 1
Te5 0.357 0.000 0.995 1
Te6 0.371 0.500 0.189 1
Te7 0.881 0.500 0.922 1
Te8 0.889 0.000 0.129 1
Te9 0.911 0.000 0.922 1
Te10 0.913 0.231 0.233 1
Te11 0.920 0.279 0.034 1
Te12 0.920 0.500 0.122 1
# Crystal system   monoclinic
# ΔE to the lowest computed polymorph   0.137 eV/atom

***

Record 4
# PBE Cu7Te4, relaxed
data_Cu7Te4
_chemical_formula_sum 'Cu42 Te24'
_symmetry_space_group_name_H-M 'P 1 21/m 1'
_symmetry_Int_Tables_number 11
_cell_length_a 7.230
_cell_length_b 8.243
_cell_length_c 48.251
_cell_angle_alpha 90.00
_cell_angle_beta 90.31
_cell_angle_gamma 90.00
loop_
_symmetry_equiv_pos_as_xyz
'x,y,z'
'-x,-y,-z'
'-x,y+1/2,-z'
'x,-y+1/2,z'
loop_
_atom_site_label
_atom_site_fract_x
_atom_site_fract_y
_atom_site_fract_z
_atom_site_occupancy
Cu1 0.069 0.007 0.308 1
Cu2 0.071 0.250 0.523 1
Cu3 0.073 0.008 0.451 1
Cu4 0.073 0.505 0.600 1
Cu5 0.076 0.750 0.373 1
Cu6 0.088 0.250 0.702 1
Cu7 0.104 0.750 0.674 1
Cu8 0.156 0.039 0.357 1
Cu9 0.170 0.250 0.420 1
Cu10 0.171 0.750 0.569 1
Cu11 0.172 0.523 0.502 1
Cu12 0.191 0.022 0.652 1
Cu13 0.369 0.750 0.525 1
Cu14 0.375 0.250 0.377 1
Cu15 0.386 0.250 0.673 1
Te1 0.249 0.750 0.324 1
Te2 0.263 0.250 0.475 1
Te3 0.265 0.750 0.624 1
Te4 0.278 0.511 0.705 1
Te5 0.285 0.250 0.321 1
Te6 0.290 0.026 0.552 1
Te7 0.292 0.250 0.619 1
Te8 0.292 0.529 0.404 1
Te9 0.292 0.750 0.471 1
# Crystal system   monoclinic
# ΔE to the lowest computed polymorph   0.023 eV/atom

***

Record 5
# PBE Cu4Te, relaxed
data_Cu4Te
_chemical_formula_sum 'Cu24 Te6'
_symmetry_space_group_name_H-M 'P 1 21/m 1'
_symmetry_Int_Tables_number 11
_cell_length_a 5.665
_cell_length_b 3.714
_cell_length_c 29.637
_cell_angle_alpha 90.00
_cell_angle_beta 90.39
_cell_angle_gamma 90.00
loop_
_symmetry_equiv_pos_as_xyz
'x,y,z'
'-x,-y,-z'
'-x,y+1/2,-z'
'x,-y+1/2,z'
loop_
_atom_site_label
_atom_site_fract_x
_atom_site_fract_y
_atom_site_fract_z
_atom_site_occupancy
Cu1 0.035 0.250 0.338 1
Cu2 0.051 0.250 0.529 1
Cu3 0.075 0.250 0.720 1
Cu4 0.145 0.750 0.395 1
Cu5 0.153 0.750 0.586 1
Cu6 0.248 0.250 0.453 1
Cu7 0.258 0.250 0.643 1
Cu8 0.339 0.750 0.319 1
Cu9 0.350 0.750 0.510 1
Cu10 0.363 0.750 0.700 1
Cu11 0.442 0.250 0.376 1
Cu12 0.453 0.250 0.567 1
Te1 0.118 0.750 0.853 1
Te2 0.244 0.250 0.254 1
Te3 0.328 0.250 0.793 1
# Crystal system   monoclinic
# ΔE to the lowest computed polymorph   0.000 eV/atom

***

Record 6
# PBE Cu13Te2, relaxed
data_Cu13Te2
_chemical_formula_sum 'Cu26 Te4'
_symmetry_space_group_name_H-M 'P -1'
_symmetry_Int_Tables_number 2
_cell_length_a 4.429
_cell_length_b 5.764
_cell_length_c 27.991
_cell_angle_alpha 88.55
_cell_angle_beta 89.19
_cell_angle_gamma 75.12
loop_
_symmetry_equiv_pos_as_xyz
'x,y,z'
'-x,-y,-z'
loop_
_atom_site_label
_atom_site_fract_x
_atom_site_fract_y
_atom_site_fract_z
_atom_site_occupancy
Cu1 0.001 0.264 0.440 1
Cu2 0.018 0.780 0.318 1
Cu3 0.136 0.793 0.646 1
Cu4 0.137 0.346 0.286 1
Cu5 0.143 0.315 0.526 1
Cu6 0.147 0.842 0.405 1
Cu7 0.279 0.369 0.612 1
Cu8 0.286 0.894 0.491 1
Cu9 0.291 0.422 0.371 1
Cu10 0.418 0.425 0.698 1
Cu11 0.427 0.948 0.577 1
Cu12 0.429 0.475 0.457 1
Cu13 0.445 0.996 0.337 1
Te1 0.225 0.668 0.227 1
Te2 0.281 0.869 0.743 1
# Crystal system   triclinic
# ΔE to the lowest computed polymorph   0.000 eV/atom

***

Record 7
# PBE Cu10Te, relaxed
data_Cu10Te
_chemical_formula_sum 'Cu60 Te6'
_symmetry_space_group_name_H-M 'P -1'
_symmetry_Int_Tables_number 2
_cell_length_a 4.370
_cell_length_b 13.491
_cell_length_c 15.726
_cell_angle_alpha 91.15
_cell_angle_beta 92.81
_cell_angle_gamma 90.52
loop_
_symmetry_equiv_pos_as_xyz
'x,y,z'
'-x,-y,-z'
loop_
_atom_site_label
_atom_site_fract_x
_atom_site_fract_y
_atom_site_fract_z
_atom_site_occupancy
Cu1 0.047 0.473 0.187 1
Cu2 0.062 0.406 0.337 1
Cu3 0.064 0.971 0.182 1
Cu4 0.068 0.906 0.334 1
Cu5 0.080 0.338 0.489 1
Cu6 0.084 0.839 0.487 1
Cu7 0.104 0.270 0.643 1
Cu8 0.110 0.771 0.640 1
Cu9 0.113 0.206 0.798 1
Cu10 0.135 0.705 0.793 1
Cu11 0.184 0.156 0.149 1
Cu12 0.198 0.652 0.148 1
Cu13 0.223 0.084 0.309 1
Cu14 0.223 0.586 0.309 1
Cu15 0.245 0.017 0.462 1
Cu16 0.246 0.517 0.462 1
Cu17 0.267 0.449 0.614 1
Cu18 0.267 0.950 0.614 1
Cu19 0.287 0.879 0.764 1
Cu20 0.289 0.380 0.767 1
Cu21 0.339 0.326 0.125 1
Cu22 0.374 0.262 0.281 1
Cu23 0.388 0.763 0.278 1
Cu24 0.391 0.824 0.115 1
Cu25 0.403 0.195 0.436 1
Cu26 0.408 0.696 0.435 1
Cu27 0.426 0.128 0.590 1
Cu28 0.431 0.628 0.588 1
Cu29 0.435 0.063 0.742 1
Cu30 0.447 0.563 0.738 1
Te1 0.122 0.240 0.975 1
Te2 0.444 0.982 0.902 1
Te3 0.455 0.497 0.902 1
# Crystal system   triclinic
# ΔE to the lowest computed polymorph   0.030 eV/atom